Record 1
A plane-wave DFT calculation with PBE-GGA was carried out for an optimized crystal structure of CdFe2N.

ρ in kg/m³: 7469
Total magnetization in Bohr magnetons per cell: 4.32
Uncorrected formation energy in eV per atom: 0.255
Electronic total energy in eV/atom: -6.2867

Lattice parameters (Å, degrees): 5.9658 5.9658 5.1617 54.70 54.70 90.00
Fractional coordinates of all 8 atoms:
N: 0.5000 0.5000 0.0000
N: 0.2500 0.7500 0.5000
Fe: 0.4883 0.1250 0.2500
Fe: 0.3750 0.5117 0.7500
Fe: 0.8750 0.7383 0.7500
Fe: 0.2617 0.6250 0.2500
Cd: 0.7500 0.2500 0.5000
Cd: 0.0000 0.0000 0.0000


Record 2
A plane-wave DFT calculation with PBE-GGA was carried out for an optimized crystal structure of CrIn3.

Calculated formation energy in eV/atom: 0.2912
ρ in kg/m³: 7075
Total magnetization in Bohr magnetons per cell: 3.87
Electronic total energy in eV/atom: -4.1685

Lattice parameters (Å, degrees): 9.6605 9.6605 9.6605 20.09 20.09 20.09
Fractional coordinates of all 4 atoms:
In: 0.7420 0.7420 0.7420
In: 0.2580 0.2580 0.2580
In: 0.5000 0.5000 0.5000
Cr: 0.0000 0.0000 0.0000


Record 3
A plane-wave DFT calculation with PBE-GGA was carried out for an optimized crystal structure of ErThCoNi.

Calculated formation energy in eV/atom: -0.2586
ρ in kg/m³: 10812
Total magnetization in Bohr magnetons per cell: 0.01
Electronic total energy in eV/atom: -6.4761

Lattice parameters (Å, degrees): 4.8243 4.8243 4.8243 60.00 60.00 60.00
Fractional coordinates of all 4 atoms:
Ni: 0.2500 0.2500 0.2500
Th: 0.0000 0.0000 0.0000
Er: 0.5000 0.5000 0.5000
Co: 0.7500 0.7500 0.7500


Record 4
A plane-wave DFT calculation with PBE-GGA was carried out for an optimized crystal structure of K2ZnAgBr6.

ρ in kg/m³: 3852
Total magnetization in Bohr magnetons per cell: 1.06
Uncorrected formation energy in eV per atom: -0.977
Electronic total energy in eV/atom: -2.6129

Lattice parameters (Å, degrees): 7.8926 7.5933 10.5228 90.00 87.91 90.00
Fractional coordinates of all 20 atoms:
K: 0.0077 0.9554 0.2541
K: 0.9923 0.0446 0.7459
K: 0.4923 0.4554 0.2459
K: 0.5077 0.5446 0.7541
Br: 0.3212 0.7507 0.0425
Br: 0.5887 0.0291 0.2566
Br: 0.2010 0.2277 0.0474
Br: 0.2990 0.7277 0.4526
Br: 0.7990 0.7723 0.9526
Br: 0.9113 0.5291 0.2434
Br: 0.7010 0.2723 0.5474
Br: 0.1788 0.2507 0.4575
Br: 0.8212 0.7493 0.5425
Br: 0.6788 0.2493 0.9575
Br: 0.0887 0.4709 0.7566
Br: 0.4113 0.9709 0.7434
Ag: 0.5000 0.0000 0.5000
Ag: 0.0000 0.5000 0.0000
Zn: 0.0000 0.5000 0.5000
Zn: 0.5000 0.0000 0.0000


Record 5
A plane-wave DFT calculation with PBE-GGA was carried out for an optimized crystal structure of LiEr2Hg4.

Calculated formation energy in eV/atom: -0.1615
ρ in kg/m³: 10849
Total magnetization in Bohr magnetons per cell: 0.00
Electronic total energy in eV/atom: -1.9110

Lattice parameters (Å, degrees): 4.7625 4.7625 8.4212 106.43 106.43 90.00
Fractional coordinates of all 7 atoms:
Er: 0.6343 0.6343 0.2686
Er: 0.3657 0.3657 0.7314
Li: 0.0000 0.0000 0.0000
Hg: 0.8271 0.8271 0.6543
Hg: 0.0000 0.5000 0.0000
Hg: 0.5000 0.0000 0.0000
Hg: 0.1729 0.1729 0.3457


Record 6
A plane-wave DFT calculation with PBE-GGA was carried out for an optimized crystal structure of KCd3Pt.

Calculated formation energy in eV/atom: -0.0959
ρ in kg/m³: 7851
Total magnetization in Bohr magnetons per cell: 0.00
Electronic total energy in eV/atom: -2.0726

Lattice parameters (Å, degrees): 5.0835 5.0835 10.8010 90.00 90.00 120.00
Fractional coordinates of all 10 atoms:
K: 0.6667 0.3333 0.2500
K: 0.3333 0.6667 0.7500
Cd: 0.0000 0.0000 0.2500
Cd: 0.0000 0.0000 0.7500
Cd: 0.3333 0.6667 0.4421
Cd: 0.6667 0.3333 0.9421
Cd: 0.6667 0.3333 0.5579
Cd: 0.3333 0.6667 0.0579
Pt: 0.0000 0.0000 0.0000
Pt: 0.0000 0.0000 0.5000


Record 7
A plane-wave DFT calculation with PBE-GGA was carried out for an optimized crystal structure of ErTm5As6.

Calculated formation energy in eV/atom: -1.5089
ρ in kg/m³: 8506
Total magnetization in Bohr magnetons per cell: 0.00
Electronic total energy in eV/atom: -6.0770

Lattice parameters (Å, degrees): 7.0439 7.0470 7.0423 59.98 80.39 70.50
Fractional coordinates of all 12 atoms:
As: 0.2505 0.9166 0.6660
As: 0.7495 0.0834 0.3340
As: 0.2505 0.5826 0.3340
As: 0.7495 0.4174 0.6660
As: 0.7497 0.7494 0.0000
As: 0.2503 0.2506 0.0000
Tm: 0.0000 0.6667 0.6665
Tm: 0.5000 0.8335 0.3330
Tm: 0.5000 0.1665 0.6670
Tm: 0.0000 0.3333 0.3335
Tm: 0.5000 0.5000 0.0000
Er: 0.0000 0.0000 0.0000


Record 8
A plane-wave DFT calculation with PBE-GGA was carried out for an optimized crystal structure of Mg4Zr.

Calculated formation energy in eV/atom: 1.0620
ρ in kg/m³: 1796
Total magnetization in Bohr magnetons per cell: 2.75
Electronic total energy in eV/atom: -1.9233

Lattice parameters (Å, degrees): 5.5855 5.5855 5.5855 90.00 90.00 90.00
Fractional coordinates of all 5 atoms:
Mg: 0.0000 0.0000 0.0000
Mg: 0.5000 0.5000 0.0000
Mg: 0.0000 0.5000 0.5000
Mg: 0.5000 0.0000 0.5000
Zr: 0.5000 0.5000 0.5000